Entry 1:
A plane-wave DFT calculation with meta-GGA SCAN was carried out for ZrTa2 at its PBEsol-relaxed geometry.

Summary:
DFT formation energy (kJ/mol of atoms): 3.3
Energy above the lowest structure with this stoichiometry (meV/atom): 20
E (eV/atom): -54.588
Total moment (μB/cell): 0.00
Space group: Fd-3m

Lattice parameters (Å, degrees): 5.4985 5.4985 5.4985 60.00 60.00 60.00
Closest atoms and distances in Å follow each position.
Atoms (fractional coordinates):
Zr 0.0000 0.0000 0.0000  12 Ta 3.22, 4 Zr 3.37
Zr 0.2500 0.2500 0.2500  12 Ta 3.22, 4 Zr 3.37
Ta 0.1250 0.6250 0.6250  6 Ta 2.75
Ta 0.6250 0.6250 0.6250  6 Ta 2.75
Ta 0.6250 0.6250 0.1250  6 Ta 2.75
Ta 0.6250 0.1250 0.6250  6 Ta 2.75

---

Entry 2:
A plane-wave DFT calculation with meta-GGA SCAN was carried out for ZrTa at its PBEsol-relaxed geometry.

Summary:
DFT formation energy (kJ/mol of atoms): 11.5
E (eV/atom): -48.522
Total moment (μB/cell): 0.00
Space group: Cm

Lattice parameters (Å, degrees): 3.3819 5.6448 6.8509 107.11 90.00 107.43
Closest atoms and distances in Å follow each position.
Atoms (fractional coordinates):
Ta 0.9776 0.9552 0.9383  4 Ta 2.77, 4 Zr 3.00
Ta 0.6366 0.2733 0.8016  3 Ta 2.77-3.07, 6 Zr 2.89-3.01
Ta 0.6234 0.2469 0.2436  3 Ta 2.77-3.07, 4 Zr 2.91-2.94
Zr 0.2987 0.5973 0.6083  6 Ta 3.00-3.12, 3 Zr 3.06-3.16
Zr 0.9898 0.9796 0.4614  4 Ta 2.91-2.92, 5 Zr 3.06-3.16
Zr 0.3072 0.6144 0.1134  6 Ta 2.89-3.00, 2 Zr 3.09

---

Entry 3:
A plane-wave DFT calculation with meta-GGA SCAN was carried out for ZrTa2 at its PBEsol-relaxed geometry.

Summary:
DFT formation energy (kJ/mol of atoms): 1.3
Energy above the lowest structure with this stoichiometry (meV/atom): 0
E (eV/atom): -54.608
Total moment (μB/cell): 0.00
Space group: P6_3/mmc

Lattice parameters (Å, degrees): 5.5296 5.5296 17.7087 90.00 90.00 120.00
Closest atoms and distances in Å follow each position.
Atoms (fractional coordinates):
Ta 0.3333 0.6667 0.8738  6 Ta 2.74-2.75
Ta 0.6667 0.3333 0.1262  6 Ta 2.74-2.75
Ta 0.6667 0.3333 0.3738  6 Ta 2.74-2.75
Ta 0.3333 0.6667 0.6262  6 Ta 2.74-2.75
Ta 0.0000 0.5000 0.0000  6 Ta 2.75-2.76
Ta 0.5000 0.0000 0.0000  6 Ta 2.75-2.76
Ta 0.5000 0.5000 0.0000  6 Ta 2.75-2.76
Ta 0.0000 0.5000 0.5000  6 Ta 2.75-2.76
Ta 0.5000 0.0000 0.5000  6 Ta 2.75-2.76
Ta 0.5000 0.5000 0.5000  6 Ta 2.75-2.76
Ta 0.6758 0.8379 0.7500  6 Ta 2.69-2.84
Ta 0.1621 0.3242 0.7500  6 Ta 2.69-2.84
Ta 0.1621 0.8379 0.7500  6 Ta 2.69-2.84
Ta 0.3242 0.1621 0.2500  6 Ta 2.69-2.84
Ta 0.8379 0.6758 0.2500  6 Ta 2.69-2.84
Ta 0.8379 0.1621 0.2500  6 Ta 2.69-2.84
Zr 0.0000 0.0000 0.9063  12 Ta 3.17-3.24, 4 Zr 3.32-3.38
Zr 0.0000 0.0000 0.0937  12 Ta 3.17-3.24, 4 Zr 3.32-3.38
Zr 0.0000 0.0000 0.4063  12 Ta 3.17-3.24, 4 Zr 3.32-3.38
Zr 0.0000 0.0000 0.5937  12 Ta 3.17-3.24, 4 Zr 3.32-3.38
Zr 0.3333 0.6667 0.1566  12 Ta 3.20-3.24, 4 Zr 3.31-3.38
Zr 0.6667 0.3333 0.8434  12 Ta 3.20-3.24, 4 Zr 3.31-3.38
Zr 0.6667 0.3333 0.6566  12 Ta 3.20-3.24, 4 Zr 3.31-3.38
Zr 0.3333 0.6667 0.3434  12 Ta 3.20-3.24, 4 Zr 3.31-3.38

---

Entry 4:
A plane-wave DFT calculation with meta-GGA SCAN was carried out for ZrTa at its PBEsol-relaxed geometry.

Summary:
DFT formation energy (kJ/mol of atoms): 11.7
E (eV/atom): -48.520
Total moment (μB/cell): 0.00
Space group: C2/m

Lattice parameters (Å, degrees): 3.4164 4.8606 5.6046 115.56 107.75 90.00
Closest atoms and distances in Å follow each position.
Atoms (fractional coordinates):
Ta 0.1413 0.3685 0.2826  2 Ta 2.69, 6 Zr 2.94-3.02
Ta 0.8587 0.6315 0.7174  2 Ta 2.69, 6 Zr 2.94-3.02
Zr 0.6189 0.8555 0.2378  7 Ta 2.94-3.20, 3 Zr 3.03-3.23
Zr 0.3811 0.1445 0.7622  7 Ta 2.94-3.20, 3 Zr 3.03-3.23

---

Entry 5:
A plane-wave DFT calculation with meta-GGA SCAN was carried out for ZrTa2 at its PBEsol-relaxed geometry.

Summary:
DFT formation energy (kJ/mol of atoms): 9.0
Energy above the lowest structure with this stoichiometry (meV/atom): 80
E (eV/atom): -54.528
Total moment (μB/cell): 0.00
Space group: C2/m

Lattice parameters (Å, degrees): 3.3201 5.5279 6.9182 108.60 90.00 107.48
Closest atoms and distances in Å follow each position.
Atoms (fractional coordinates):
Zr 0.1608 0.3215 0.0856  6 Ta 2.97-3.00, 5 Zr 3.03-3.32
Zr 0.8392 0.6785 0.9144  6 Ta 2.97-3.00, 5 Zr 3.03-3.32
Ta 0.5028 0.0056 0.7240  5 Ta 2.77-3.08, 4 Zr 3.00
Ta 0.1653 0.3305 0.5733  6 Ta 2.77-2.86, 2 Zr 2.97
Ta 0.8347 0.6695 0.4267  6 Ta 2.77-2.86, 2 Zr 2.97
Ta 0.4972 0.9944 0.2760  5 Ta 2.77-3.08, 4 Zr 3.00

---

Entry 6:
A plane-wave DFT calculation with meta-GGA SCAN was carried out for TbTc2 at its PBEsol-relaxed geometry.

Summary:
DFT formation energy (kJ/mol of atoms): -21.3
E (eV/atom): -39.181
Total moment (μB/cell): 0.00
Space group: P6_3/mmc

Lattice parameters (Å, degrees): 5.3044 5.3044 8.7741 90.00 90.00 120.00
Closest atoms and distances in Å follow each position.
Atoms (fractional coordinates):
Tb 0.3333 0.6667 0.0629  12 Tc 3.11-3.12, 4 Tb 3.26-3.28
Tb 0.6667 0.3333 0.9371  12 Tc 3.11-3.12, 4 Tb 3.26-3.28
Tb 0.6667 0.3333 0.5629  12 Tc 3.11-3.12, 4 Tb 3.26-3.28
Tb 0.3333 0.6667 0.4371  12 Tc 3.11-3.12, 4 Tb 3.26-3.28
Tc 0.0000 0.0000 0.0000  6 Tc 2.70
Tc 0.0000 0.0000 0.5000  6 Tc 2.70
Tc 0.8291 0.1709 0.2500  6 Tc 2.59-2.72
Tc 0.3418 0.1709 0.2500  6 Tc 2.59-2.72
Tc 0.8291 0.6582 0.2500  6 Tc 2.59-2.72
Tc 0.1709 0.8291 0.7500  6 Tc 2.59-2.72
Tc 0.6582 0.8291 0.7500  6 Tc 2.59-2.72
Tc 0.1709 0.3418 0.7500  6 Tc 2.59-2.72

---

Entry 7:
A plane-wave DFT calculation with meta-GGA SCAN was carried out for TbTlTe2 at its PBEsol-relaxed geometry.

Summary:
E (eV/atom): -49.550
Total moment (μB/cell): 0.00
Space group: R-3m
Formation energy without anion corrections (kJ per mole of atoms): -110

Lattice parameters (Å, degrees): 4.3618 4.3618 8.3912 74.94 74.94 60.00
Closest atoms and distances in Å follow each position.
Atoms (fractional coordinates):
Tl 0.5000 0.5000 0.5000  6 Te 3.37
Te 0.2602 0.2602 0.2195  3 Tb 3.07, 3 Tl 3.37
Te 0.7398 0.7398 0.7805  3 Tb 3.07, 3 Tl 3.37
Tb 0.0000 0.0000 0.0000  6 Te 3.07

---

Entry 8:
A plane-wave DFT calculation with meta-GGA SCAN was carried out for Tb2Tl at its PBEsol-relaxed geometry.

Summary:
DFT formation energy (kJ/mol of atoms): -45.1
E (eV/atom): -55.762
Total moment (μB/cell): 1.44
Space group: P6_3/mmc

Lattice parameters (Å, degrees): 5.3337 5.3337 6.6105 90.00 90.00 120.00
Closest atoms and distances in Å follow each position.
Atoms (fractional coordinates):
Tl 0.6667 0.3333 0.7500  5 Tb 3.08-3.31
Tl 0.3333 0.6667 0.2500  5 Tb 3.08-3.31
Tb 0.0000 0.0000 0.0000  8 Tb 3.31-3.49, 6 Tl 3.49
Tb 0.0000 0.0000 0.5000  8 Tb 3.31-3.49, 6 Tl 3.49
Tb 0.6667 0.3333 0.2500  5 Tl 3.08-3.31
Tb 0.3333 0.6667 0.7500  5 Tl 3.08-3.31